VASP calculation (PBE-GGA) on crystalline ScReSe2 at its relaxed geometry.

Cell: 4.5817 4.5817 4.5817 Å, 60.00 60.00 60.00°
Element x y z (fractional)
Sc 0.0000 0.0000 0.0000
Re 0.5000 0.5000 0.5000
Se 0.2500 0.2500 0.2500
Se 0.7500 0.7500 0.7500

Summary:
- Formation energy (no corrections): -239.5 meV per atom
- V: 17.00 Å³ per atom
- Spin magnetization: 0.19 μB per atom